Record 1
Entry from Alexandria via LeMat-Bulk: EuTlSnPb after structural relaxation (PBE-GGA).

Calculated values
For the magnetization, the calculation gives 28.5 μB/cell. The calculation puts the formation energy at -278 meV per atom.

```
data_EuTlSnPb
_chemical_formula_sum 'Eu4 Tl4 Sn4 Pb4'
_cell_length_a 7.8822
_cell_length_b 7.8822
_cell_length_c 7.8822
_cell_angle_alpha 90.00
_cell_angle_beta 90.00
_cell_angle_gamma 90.00
_symmetry_space_group_name_H-M 'F -4 3 m'
_symmetry_Int_Tables_number 216
_symmetry_space_group_name_Hall 'F -4 2 3'
loop_
_atom_site_label
_atom_site_fract_x
_atom_site_fract_y
_atom_site_fract_z
Eu1 0.0000 0.0000 0.0000
Tl1 0.2500 0.2500 0.2500
Sn1 0.2500 0.2500 0.7500
Pb1 0.0000 0.0000 0.5000
```

Record 2
Entry from Alexandria via LeMat-Bulk: Ca2PrPb9 after structural relaxation (PBE-GGA).

Calculated values
For the magnetization, the calculation gives 0.0 μB/cell. The calculation puts the formation energy at -347 meV per atom.

```
data_Ca2PrPb9
_chemical_formula_sum 'Ca2 Pr1 Pb9'
_cell_length_a 4.9308
_cell_length_b 4.9308
_cell_length_c 14.8748
_cell_angle_alpha 90.00
_cell_angle_beta 90.00
_cell_angle_gamma 90.00
_symmetry_space_group_name_H-M 'P 4/m m m'
_symmetry_Int_Tables_number 123
_symmetry_space_group_name_Hall '-P 4 2'
loop_
_atom_site_label
_atom_site_fract_x
_atom_site_fract_y
_atom_site_fract_z
Ca1 0.0000 0.0000 0.1671
Pr1 0.0000 0.0000 0.5000
Pb1 0.0000 0.5000 0.0000
Pb2 0.0000 0.5000 0.3308
Pb3 0.5000 0.5000 0.1656
Pb4 0.5000 0.5000 0.5000
```

Record 3
Entry from Alexandria via LeMat-Bulk: PuMgCuRu after structural relaxation (PBE-GGA).

Calculated values
For the magnetization, the calculation gives 19.5 μB/cell. The calculation puts the formation energy at 40 meV per atom.

```
data_PuMgCuRu
_chemical_formula_sum 'Pu4 Mg4 Cu4 Ru4'
_cell_length_a 6.5963
_cell_length_b 6.5963
_cell_length_c 6.5963
_cell_angle_alpha 90.00
_cell_angle_beta 90.00
_cell_angle_gamma 90.00
_symmetry_space_group_name_H-M 'F -4 3 m'
_symmetry_Int_Tables_number 216
_symmetry_space_group_name_Hall 'F -4 2 3'
loop_
_atom_site_label
_atom_site_fract_x
_atom_site_fract_y
_atom_site_fract_z
Pu1 0.0000 0.0000 0.0000
Mg1 0.0000 0.0000 0.5000
Cu1 0.2500 0.2500 0.7500
Ru1 0.2500 0.2500 0.2500
```

Record 4
Entry from Alexandria via LeMat-Bulk: KAsSe2I after structural relaxation (PBE-GGA).

Calculated values
For the magnetization, the calculation gives 6.5 μB/cell. Its uncorrected formation energy is 1.026 eV/atom.

```
data_KAsSe2I
_chemical_formula_sum 'K1 As1 Se2 I1'
_cell_length_a 6.2808
_cell_length_b 6.2808
_cell_length_c 6.5702
_cell_angle_alpha 90.00
_cell_angle_beta 90.00
_cell_angle_gamma 90.00
_symmetry_space_group_name_H-M 'P 4/m m m'
_symmetry_Int_Tables_number 123
_symmetry_space_group_name_Hall '-P 4 2'
loop_
_atom_site_label
_atom_site_fract_x
_atom_site_fract_y
_atom_site_fract_z
K1 0.0000 0.0000 0.0000
As1 0.0000 0.0000 0.5000
Se1 0.0000 0.5000 0.0000
I1 0.5000 0.5000 0.5000
```

Record 5
Entry from Alexandria via LeMat-Bulk: CoTc2Au after structural relaxation (PBE-GGA).

Calculated values
For the magnetization, the calculation gives 2.5 μB/cell. The calculation puts the formation energy at 321 meV per atom.

```
data_CoTc2Au
_chemical_formula_sum 'Co3 Tc6 Au3'
_cell_length_a 2.7297
_cell_length_b 2.7297
_cell_length_c 26.9714
_cell_angle_alpha 90.00
_cell_angle_beta 90.00
_cell_angle_gamma 120.00
_symmetry_space_group_name_H-M 'R -3 m'
_symmetry_Int_Tables_number 166
_symmetry_space_group_name_Hall '-R 3 2"'
loop_
_atom_site_label
_atom_site_fract_x
_atom_site_fract_y
_atom_site_fract_z
Co1 0.0000 0.0000 0.0000
Tc1 0.0000 0.0000 0.2583
Au1 0.0000 0.0000 0.5000
```

Record 6
Entry from Alexandria via LeMat-Bulk: Dy4Tl5Ga2 after structural relaxation (PBE-GGA).

Calculated values
For the magnetization, the calculation gives 0.0 μB/cell. The calculation puts the formation energy at -350 meV per atom.

```
data_Dy4Tl5Ga2
_chemical_formula_sum 'Dy4 Tl5 Ga2'
_cell_length_a 8.1170
_cell_length_b 3.6868
_cell_length_c 9.5593
_cell_angle_alpha 90.00
_cell_angle_beta 92.38
_cell_angle_gamma 90.00
_symmetry_space_group_name_H-M 'P 1 2/m 1'
_symmetry_Int_Tables_number 10
loop_
_symmetry_equiv_pos_as_xyz
'x,y,z'
'-x,-y,-z'
'-x,y,-z'
'x,-y,z'
loop_
_atom_site_label
_atom_site_fract_x
_atom_site_fract_y
_atom_site_fract_z
Dy1 0.2055 0.0000 0.3543
Dy2 0.2294 0.0000 0.9068
Tl1 0.1391 0.5000 0.6322
Tl2 0.4505 0.5000 0.1604
Tl3 0.5000 0.5000 0.5000
Ga1 0.0810 0.5000 0.1213
```

Record 7
Entry from Alexandria via LeMat-Bulk: Fe2ReRhCl after structural relaxation (PBE-GGA).

Calculated values
For the magnetization, the calculation gives 0.0 μB/cell. Its uncorrected formation energy is 1.369 eV/atom.

```
data_Fe2ReRhCl
_chemical_formula_sum 'Fe2 Re1 Rh1 Cl1'
_cell_length_a 4.0307
_cell_length_b 4.0307
_cell_length_c 4.3722
_cell_angle_alpha 90.00
_cell_angle_beta 90.00
_cell_angle_gamma 90.00
_symmetry_space_group_name_H-M 'P 4/m m m'
_symmetry_Int_Tables_number 123
_symmetry_space_group_name_Hall '-P 4 2'
loop_
_atom_site_label
_atom_site_fract_x
_atom_site_fract_y
_atom_site_fract_z
Fe1 0.0000 0.5000 0.0000
Re1 0.0000 0.0000 0.5000
Rh1 0.5000 0.5000 0.5000
Cl1 0.5000 0.5000 0.0000
```

Record 8
Entry from Alexandria via LeMat-Bulk: Tb2ZrCo after structural relaxation (PBE-GGA).

Calculated values
For the magnetization, the calculation gives 0.0 μB/cell. The calculation puts the formation energy at 349 meV per atom.

```
data_Tb2ZrCo
_chemical_formula_sum 'Tb6 Zr3 Co3'
_cell_length_a 3.3481
_cell_length_b 3.3481
_cell_length_c 30.4059
_cell_angle_alpha 90.00
_cell_angle_beta 90.00
_cell_angle_gamma 120.00
_symmetry_space_group_name_H-M 'R -3 m'
_symmetry_Int_Tables_number 166
_symmetry_space_group_name_Hall '-R 3 2"'
loop_
_atom_site_label
_atom_site_fract_x
_atom_site_fract_y
_atom_site_fract_z
Tb1 0.0000 0.0000 0.1059
Zr1 0.0000 0.0000 0.0000
Co1 0.0000 0.0000 0.5000
```

Record 9
Entry from Alexandria via LeMat-Bulk: Sb2RhCl after structural relaxation (PBE-GGA).

Calculated values
For the magnetization, the calculation gives 0.0 μB/cell. Its uncorrected formation energy is 0.250 eV/atom.

```
data_Sb2RhCl
_chemical_formula_sum 'Sb8 Rh4 Cl4'
_cell_length_a 6.9730
_cell_length_b 6.9730
_cell_length_c 6.9730
_cell_angle_alpha 90.00
_cell_angle_beta 90.00
_cell_angle_gamma 90.00
_symmetry_space_group_name_H-M 'F -4 3 m'
_symmetry_Int_Tables_number 216
_symmetry_space_group_name_Hall 'F -4 2 3'
loop_
_atom_site_label
_atom_site_fract_x
_atom_site_fract_y
_atom_site_fract_z
Sb1 0.0000 0.0000 0.0000
Sb2 0.2500 0.2500 0.2500
Rh1 0.0000 0.0000 0.5000
Cl1 0.2500 0.2500 0.7500
```

Record 10
Entry from Alexandria via LeMat-Bulk: Tm3Si4Pt2 after structural relaxation (PBE-GGA).

Calculated values
For the magnetization, the calculation gives 0.0 μB/cell. Its uncorrected formation energy is -1.007 eV/atom.

```
data_Tm3Si4Pt2
_chemical_formula_sum 'Tm6 Si8 Pt4'
_cell_length_a 10.1694
_cell_length_b 4.2316
_cell_length_c 8.1269
_cell_angle_alpha 90.00
_cell_angle_beta 107.43
_cell_angle_gamma 90.00
_symmetry_space_group_name_H-M 'C 1 2/m 1'
_symmetry_Int_Tables_number 12
loop_
_symmetry_equiv_pos_as_xyz
'x,y,z'
'-x,-y,-z'
'-x,y,-z'
'x,-y,z'
'x+1/2,y+1/2,z'
'-x+1/2,-y+1/2,-z'
'-x+1/2,y+1/2,-z'
'x+1/2,-y+1/2,z'
loop_
_atom_site_label
_atom_site_fract_x
_atom_site_fract_y
_atom_site_fract_z
Tm1 0.0000 0.0000 0.0000
Tm2 0.1369 0.5000 0.6906
Si1 0.0932 0.0000 0.4255
Si2 0.2266 0.5000 0.0614
Pt1 0.1512 0.5000 0.3134
```

Record 11
Entry from Alexandria via LeMat-Bulk: TiMnP2 after structural relaxation (PBE-GGA).

Calculated values
For the magnetization, the calculation gives 3.6 μB/cell. The calculation puts the formation energy at -583 meV per atom.

```
data_TiMnP2
_chemical_formula_sum 'Ti3 Mn3 P6'
_cell_length_a 3.5250
_cell_length_b 3.5250
_cell_length_c 15.6520
_cell_angle_alpha 90.00
_cell_angle_beta 90.00
_cell_angle_gamma 120.00
_symmetry_space_group_name_H-M 'R -3 m'
_symmetry_Int_Tables_number 166
_symmetry_space_group_name_Hall '-R 3 2"'
loop_
_atom_site_label
_atom_site_fract_x
_atom_site_fract_y
_atom_site_fract_z
Ti1 0.0000 0.0000 0.0000
Mn1 0.0000 0.0000 0.5000
P1 0.0000 0.0000 0.2404
```

Record 12
Entry from Alexandria via LeMat-Bulk: AcLaO3 after structural relaxation (PBE-GGA).

Calculated values
For the magnetization, the calculation gives 0.0 μB/cell. Its uncorrected formation energy is -3.148 eV/atom.

```
data_AcLaO3
_chemical_formula_sum 'Ac1 La1 O3'
_cell_length_a 6.4930
_cell_length_b 6.4930
_cell_length_c 3.3484
_cell_angle_alpha 90.00
_cell_angle_beta 90.00
_cell_angle_gamma 120.00
_symmetry_space_group_name_H-M 'P -6 m 2'
_symmetry_Int_Tables_number 187
_symmetry_space_group_name_Hall 'P -6 2'
loop_
_atom_site_label
_atom_site_fract_x
_atom_site_fract_y
_atom_site_fract_z
Ac1 0.0000 0.0000 0.0000
La1 0.6667 0.3333 0.0000
O1 0.3419 0.1709 0.5000
```

Record 13
Entry from Alexandria via LeMat-Bulk: CaReB14 after structural relaxation (PBE-GGA).

Calculated values
For the magnetization, the calculation gives 0.0 μB/cell. The calculation puts the formation energy at -60 meV per atom.

```
data_CaReB14
_chemical_formula_sum 'Ca4 Re4 B56'
_cell_length_a 5.8723
_cell_length_b 10.7334
_cell_length_c 8.3059
_cell_angle_alpha 90.00
_cell_angle_beta 90.00
_cell_angle_gamma 90.00
_symmetry_space_group_name_H-M 'I m m a'
_symmetry_Int_Tables_number 74
_symmetry_space_group_name_Hall '-I 2b 2'
loop_
_atom_site_label
_atom_site_fract_x
_atom_site_fract_y
_atom_site_fract_z
Ca1 0.0000 0.2500 0.1353
Re1 0.2500 0.2500 0.7500
B1 0.0000 0.0858 0.6665
B2 0.0000 0.1240 0.8722
B3 0.0000 0.1668 0.4598
B4 0.1616 0.0608 0.3379
B5 0.2455 0.0800 0.5474
```

Record 14
Entry from Alexandria via LeMat-Bulk: Sn3Pd after structural relaxation (PBE-GGA).

Calculated values
For the magnetization, the calculation gives 0.0 μB/cell. The calculation puts the formation energy at -284 meV per atom.

```
data_Sn3Pd
_chemical_formula_sum 'Sn24 Pd8'
_cell_length_a 17.3548
_cell_length_b 6.5515
_cell_length_c 6.5950
_cell_angle_alpha 90.00
_cell_angle_beta 90.00
_cell_angle_gamma 90.00
_symmetry_space_group_name_H-M 'C m c e'
_symmetry_Int_Tables_number 64
_symmetry_space_group_name_Hall '-C 2ac 2'
loop_
_atom_site_label
_atom_site_fract_x
_atom_site_fract_y
_atom_site_fract_z
Sn1 0.0000 0.1599 0.1606
Sn2 0.1682 0.1692 0.8316
Pd1 0.0857 0.0000 0.5000
```

Record 15
Entry from Alexandria via LeMat-Bulk: HfZr2ScTc after structural relaxation (PBE-GGA).

Calculated values
For the magnetization, the calculation gives 0.0 μB/cell. The calculation puts the formation energy at 460 meV per atom.

```
data_HfZr2ScTc
_chemical_formula_sum 'Hf1 Zr2 Sc1 Tc1'
_cell_length_a 4.9996
_cell_length_b 4.9996
_cell_length_c 4.9431
_cell_angle_alpha 90.00
_cell_angle_beta 90.00
_cell_angle_gamma 90.00
_symmetry_space_group_name_H-M 'P 4/m m m'
_symmetry_Int_Tables_number 123
_symmetry_space_group_name_Hall '-P 4 2'
loop_
_atom_site_label
_atom_site_fract_x
_atom_site_fract_y
_atom_site_fract_z
Hf1 0.0000 0.0000 0.0000
Zr1 0.0000 0.5000 0.5000
Sc1 0.5000 0.5000 0.0000
Tc1 0.5000 0.5000 0.5000
```

Record 16
Entry from Alexandria via LeMat-Bulk: SrMg2MnCl8 after structural relaxation (PBE-GGA).

Calculated values
For the magnetization, the calculation gives 5.0 μB/cell. Its uncorrected formation energy is -1.757 eV/atom.

```
data_SrMg2MnCl8
_chemical_formula_sum 'Sr1 Mg2 Mn1 Cl8'
_cell_length_a 6.1008
_cell_length_b 7.8517
_cell_length_c 6.3044
_cell_angle_alpha 90.00
_cell_angle_beta 91.26
_cell_angle_gamma 90.00
_symmetry_space_group_name_H-M 'P 1 2/m 1'
_symmetry_Int_Tables_number 10
loop_
_symmetry_equiv_pos_as_xyz
'x,y,z'
'-x,-y,-z'
'-x,y,-z'
'x,-y,z'
loop_
_atom_site_label
_atom_site_fract_x
_atom_site_fract_y
_atom_site_fract_z
Sr1 0.0000 0.0000 0.0000
Mg1 0.5000 0.2618 0.5000
Mn1 0.0000 0.5000 0.0000
Cl1 0.2324 0.2782 0.1835
Cl2 0.2818 0.5000 0.6727
Cl3 0.2986 0.0000 0.6517
```

Record 17
Entry from Alexandria via LeMat-Bulk: Pm6AsP2I3 after structural relaxation (PBE-GGA).

Calculated values
For the magnetization, the calculation gives 0.0 μB/cell. Its uncorrected formation energy is -1.342 eV/atom.

```
data_Pm6AsP2I3
_chemical_formula_sum 'Pm12 As2 P4 I6'
_cell_length_a 7.3417
_cell_length_b 12.7188
_cell_length_c 7.9802
_cell_angle_alpha 90.00
_cell_angle_beta 107.85
_cell_angle_gamma 90.00
_symmetry_space_group_name_H-M 'C 1 2/m 1'
_symmetry_Int_Tables_number 12
loop_
_symmetry_equiv_pos_as_xyz
'x,y,z'
'-x,-y,-z'
'-x,y,-z'
'x,-y,z'
'x+1/2,y+1/2,z'
'-x+1/2,-y+1/2,-z'
'-x+1/2,y+1/2,-z'
'x+1/2,-y+1/2,z'
loop_
_atom_site_label
_atom_site_fract_x
_atom_site_fract_y
_atom_site_fract_z
Pm1 0.2205 0.0000 0.1884
Pm2 0.2341 0.3288 0.1889
As1 0.0000 0.5000 0.0000
P1 0.0000 0.1667 0.0000
I1 0.0000 0.0000 0.5000
I2 0.0000 0.3348 0.5000
```

Record 18
Entry from Alexandria via LeMat-Bulk: Tm4Sb3P after structural relaxation (PBE-GGA).

Calculated values
For the magnetization, the calculation gives 0.0 μB/cell. Its uncorrected formation energy is -1.155 eV/atom.

```
data_Tm4Sb3P
_chemical_formula_sum 'Tm8 Sb6 P2'
_cell_length_a 8.5323
_cell_length_b 11.9984
_cell_length_c 4.2198
_cell_angle_alpha 90.00
_cell_angle_beta 90.00
_cell_angle_gamma 90.00
_symmetry_space_group_name_H-M 'C m m m'
_symmetry_Int_Tables_number 65
_symmetry_space_group_name_Hall '-C 2 2'
loop_
_atom_site_label
_atom_site_fract_x
_atom_site_fract_y
_atom_site_fract_z
Tm1 0.0000 0.2404 0.0000
Tm2 0.2326 0.0000 0.5000
Sb1 0.0000 0.5000 0.0000
Sb2 0.2500 0.2500 0.5000
P1 0.0000 0.0000 0.0000
```

Record 19
Entry from Alexandria via LeMat-Bulk: PmLuCdPt after structural relaxation (PBE-GGA).

Calculated values
For the magnetization, the calculation gives 0.0 μB/cell. The calculation puts the formation energy at -691 meV per atom.

```
data_PmLuCdPt
_chemical_formula_sum 'Pm4 Lu4 Cd4 Pt4'
_cell_length_a 7.2297
_cell_length_b 7.2297
_cell_length_c 7.2297
_cell_angle_alpha 90.00
_cell_angle_beta 90.00
_cell_angle_gamma 90.00
_symmetry_space_group_name_H-M 'F -4 3 m'
_symmetry_Int_Tables_number 216
_symmetry_space_group_name_Hall 'F -4 2 3'
loop_
_atom_site_label
_atom_site_fract_x
_atom_site_fract_y
_atom_site_fract_z
Pm1 0.0000 0.0000 0.0000
Lu1 0.0000 0.0000 0.5000
Cd1 0.2500 0.2500 0.7500
Pt1 0.2500 0.2500 0.2500
```

Record 20
Entry from Alexandria via LeMat-Bulk: CaAg2As after structural relaxation (PBE-GGA).

Calculated values
For the magnetization, the calculation gives 0.0 μB/cell. The calculation puts the formation energy at -183 meV per atom.

```
data_CaAg2As
_chemical_formula_sum 'Ca1 Ag2 As1'
_cell_length_a 3.8393
_cell_length_b 3.8393
_cell_length_c 5.8921
_cell_angle_alpha 90.00
_cell_angle_beta 90.00
_cell_angle_gamma 90.00
_symmetry_space_group_name_H-M 'P 4/m m m'
_symmetry_Int_Tables_number 123
_symmetry_space_group_name_Hall '-P 4 2'
loop_
_atom_site_label
_atom_site_fract_x
_atom_site_fract_y
_atom_site_fract_z
Ca1 0.0000 0.0000 0.0000
Ag1 0.5000 0.5000 0.2565
As1 0.0000 0.0000 0.5000
```

Calculated raw total energy in order - -5.37, -3.86, -7.28, -1.83, -7.46, -3.65, -6.35, -5.88, -4.11, -6.25, -7.55, -7.93, -6.81, -4.58, -8.29, -4.16, -5.39, -5.61, -4.75, -3.27 eV per atom